Below is crystalline Na3TlBi2Se6 at its relaxed geometry, with properties calculated at the PBE-GGA level.

**E_form (uncorrected)**: -0.664 eV per atom
**Space group**: C2/m
**Energy**: -42.96 eV/f.u.

Cell lengths 7.2654, 7.2654, 7.5322 Å; angles 99.22, 99.22, 120.02 degrees
Closest atoms and distances in Å follow each position.
Fractional positions:
Na 0.0000 0.0000 0.0000  6 Se 3.05-3.10
Na 0.3319 0.6681 0.0000  6 Se 3.05-3.09
Na 0.6681 0.3319 0.0000  6 Se 3.05-3.09
Tl 0.5000 0.5000 0.5000  6 Se 2.91-2.92
Bi 0.1666 0.8334 0.5000  6 Se 2.97
Bi 0.8334 0.1666 0.5000  6 Se 2.97
Se 0.0933 0.4213 0.2637  1 Tl 2.92, 2 Bi 2.97, 3 Na 3.05-3.09
Se 0.2511 0.2511 0.7356  1 Tl 2.91, 2 Bi 2.97, 3 Na 3.07-3.10
Se 0.4213 0.0933 0.2637  1 Tl 2.92, 2 Bi 2.97, 3 Na 3.05-3.09
Se 0.5787 0.9067 0.7363  1 Tl 2.92, 2 Bi 2.97, 3 Na 3.05-3.09
Se 0.7489 0.7489 0.2644  1 Tl 2.91, 2 Bi 2.97, 3 Na 3.07-3.10
Se 0.9067 0.5787 0.7363  1 Tl 2.92, 2 Bi 2.97, 3 Na 3.05-3.09

Below is crystalline Na4Tm3BiSe8 at its relaxed geometry, with properties calculated at the PBE-GGA level.

**E_form (uncorrected)**: -1.456 eV per atom
**Space group**: R-3m
**Energy**: -73.74 eV/f.u.

Cell lengths 8.4926, 8.4926, 8.4926 Å; angles 58.30, 58.30, 58.30 degrees
Closest atoms and distances in Å follow each position.
Fractional positions:
Na 0.0000 0.0000 0.0000  6 Se 3.00
Na 0.0000 0.5000 0.5000  6 Se 3.07
Na 0.5000 0.0000 0.5000  6 Se 3.07
Na 0.5000 0.5000 0.0000  6 Se 3.07
Tm 0.0000 0.0000 0.5000  6 Se 2.86
Tm 0.0000 0.5000 0.0000  6 Se 2.86
Tm 0.5000 0.0000 0.0000  6 Se 2.86
Bi 0.5000 0.5000 0.5000  6 Se 2.93
Se 0.2346 0.7477 0.7477  2 Tm 2.86, 1 Bi 2.93, 3 Na 3.00-3.07
Se 0.2417 0.2417 0.2417  3 Tm 2.86, 3 Na 3.07
Se 0.2523 0.2523 0.7654  2 Tm 2.86, 1 Bi 2.93, 3 Na 3.00-3.07
Se 0.2523 0.7654 0.2523  2 Tm 2.86, 1 Bi 2.93, 3 Na 3.00-3.07
Se 0.7477 0.2346 0.7477  2 Tm 2.86, 1 Bi 2.93, 3 Na 3.00-3.07
Se 0.7477 0.7477 0.2346  2 Tm 2.86, 1 Bi 2.93, 3 Na 3.00-3.07
Se 0.7583 0.7583 0.7583  3 Tm 2.86, 3 Na 3.07
Se 0.7654 0.2523 0.2523  2 Tm 2.86, 1 Bi 2.93, 3 Na 3.00-3.07

Below is crystalline Na3U3BiSe8 at its relaxed geometry, with properties calculated at the PBE-GGA level.

**E_form (uncorrected)**: -1.056 eV per atom
**Space group**: R-3m
**Energy**: -85.42 eV/f.u.

Cell lengths 8.5389, 8.5389, 8.5389 Å; angles 58.29, 58.29, 58.29 degrees
Closest atoms and distances in Å follow each position.
Fractional positions:
Na 0.0000 0.5000 0.5000  6 Se 3.05-3.08
Na 0.5000 0.0000 0.5000  6 Se 3.05-3.08
Na 0.5000 0.5000 0.0000  6 Se 3.05-3.08
U 0.0000 0.0000 0.5000  6 Se 2.88-2.91
U 0.0000 0.5000 0.0000  6 Se 2.88-2.91
U 0.5000 0.0000 0.0000  6 Se 2.88-2.91
Bi 0.5000 0.5000 0.5000  6 Se 2.97
Se 0.2347 0.7494 0.7494  2 U 2.88, 1 Bi 2.97, 2 Na 3.08
Se 0.2445 0.2445 0.2445  3 U 2.91, 3 Na 3.05
Se 0.2506 0.2506 0.7653  2 U 2.88, 1 Bi 2.97, 2 Na 3.08
Se 0.2506 0.7653 0.2506  2 U 2.88, 1 Bi 2.97, 2 Na 3.08
Se 0.7494 0.2347 0.7494  2 U 2.88, 1 Bi 2.97, 2 Na 3.08
Se 0.7494 0.7494 0.2347  2 U 2.88, 1 Bi 2.97, 2 Na 3.08
Se 0.7555 0.7555 0.7555  3 U 2.91, 3 Na 3.05
Se 0.7653 0.2506 0.2506  2 U 2.88, 1 Bi 2.97, 2 Na 3.08

Below is crystalline Na3VBi3Se8 at its relaxed geometry, with properties calculated at the PBE-GGA level.

**E_form (uncorrected)**: -0.681 eV per atom
**Space group**: R-3m
**Energy**: -62.81 eV/f.u.

Cell lengths 8.6127, 8.6127, 8.6127 Å; angles 57.21, 57.21, 57.21 degrees
Closest atoms and distances in Å follow each position.
Fractional positions:
Na 0.0000 0.5000 0.5000  6 Se 3.01-3.08
Na 0.5000 0.0000 0.5000  6 Se 3.01-3.08
Na 0.5000 0.5000 0.0000  6 Se 3.01-3.08
V 0.5000 0.5000 0.5000  6 Se 2.58
Bi 0.0000 0.0000 0.5000  6 Se 2.94-2.95
Bi 0.0000 0.5000 0.0000  6 Se 2.94-2.95
Bi 0.5000 0.0000 0.0000  6 Se 2.94-2.95
Se 0.2478 0.2478 0.2478  3 Bi 2.95, 3 Na 3.01
Se 0.2753 0.7166 0.7166  1 V 2.58
Se 0.2834 0.2835 0.7247  1 V 2.58
Se 0.2834 0.7247 0.2834  1 V 2.58
Se 0.7166 0.2753 0.7166  1 V 2.58
Se 0.7166 0.7166 0.2753  1 V 2.58
Se 0.7247 0.2834 0.2834  1 V 2.58
Se 0.7522 0.7522 0.7522  3 Bi 2.95, 3 Na 3.01

Below is crystalline Na4VBi3Se8 at its relaxed geometry, with properties calculated at the PBE-GGA level.

**E_form (uncorrected)**: -0.739 eV per atom
**Space group**: R-3m
**Energy**: -65.75 eV/f.u.

Cell lengths 8.5154, 8.5154, 8.5154 Å; angles 58.23, 58.23, 58.23 degrees
Closest atoms and distances in Å follow each position.
Fractional positions:
Na 0.0000 0.0000 0.0000  6 Se 3.27
Na 0.0000 0.5000 0.5000  6 Se 2.99-3.02
Na 0.5000 0.0000 0.5000  6 Se 2.99-3.02
Na 0.5000 0.5000 0.0000  6 Se 2.99-3.02
V 0.5000 0.5000 0.5000  6 Se 2.68
Bi 0.0000 0.0000 0.5000  6 Se 2.95
Bi 0.0000 0.5000 0.0000  6 Se 2.95
Bi 0.5000 0.0000 0.0000  6 Se 2.95
Se 0.2483 0.2483 0.2483  3 Bi 2.95, 3 Na 2.99
Se 0.2696 0.7253 0.7253  1 V 2.68, 2 Bi 2.95
Se 0.2747 0.2747 0.7304  1 V 2.68, 2 Bi 2.95
Se 0.2747 0.7304 0.2747  1 V 2.68, 2 Bi 2.95
Se 0.7253 0.2696 0.7253  1 V 2.68, 2 Bi 2.95
Se 0.7253 0.7253 0.2696  1 V 2.68, 2 Bi 2.95
Se 0.7304 0.2747 0.2747  1 V 2.68, 2 Bi 2.95
Se 0.7517 0.7517 0.7517  3 Bi 2.95, 3 Na 2.99

Below is crystalline Na3YBi2Se6 at its relaxed geometry, with properties calculated at the PBE-GGA level.

**E_form (uncorrected)**: -1.064 eV per atom
**Space group**: C2/m
**Energy**: -51.86 eV/f.u.

Cell lengths 7.3016, 7.3016, 7.4684 Å; angles 99.38, 99.38, 120.02 degrees
Closest atoms and distances in Å follow each position.
Fractional positions:
Na 0.0000 0.0000 0.0000  6 Se 3.05-3.11
Na 0.3277 0.6723 0.0000  6 Se 3.06-3.10
Na 0.6723 0.3277 0.0000  6 Se 3.06-3.10
Y 0.5000 0.5000 0.5000  6 Se 2.90-2.91
Bi 0.1659 0.8341 0.5000  6 Se 2.96-2.97
Bi 0.8341 0.1659 0.5000  6 Se 2.96-2.97
Se 0.0953 0.4219 0.2657  1 Y 2.90, 2 Bi 2.96-2.97, 3 Na 3.05-3.06
Se 0.2520 0.2520 0.7357  1 Y 2.91, 2 Bi 2.96, 3 Na 3.10-3.11
Se 0.4219 0.0953 0.2657  1 Y 2.90, 2 Bi 2.96-2.97, 3 Na 3.05-3.06
Se 0.5781 0.9047 0.7343  1 Y 2.90, 2 Bi 2.96-2.97, 3 Na 3.05-3.06
Se 0.7480 0.7480 0.2643  1 Y 2.91, 2 Bi 2.96, 3 Na 3.10-3.11
Se 0.9047 0.5781 0.7343  1 Y 2.90, 2 Bi 2.96-2.97, 3 Na 3.05-3.06

Below is crystalline Na2YBiSe4 at its relaxed geometry, with properties calculated at the PBE-GGA level.

**E_form (uncorrected)**: -1.225 eV per atom
**Space group**: P2/m
**Energy**: -36.73 eV/f.u.

Cell lengths 7.2904, 4.1919, 7.4489 Å; angles 90.00, 108.96, 90.00 degrees
Closest atoms and distances in Å follow each position.
Fractional positions:
Na 0.0000 0.0000 0.0000  6 Se 3.04-3.05
Na 0.5000 0.5000 0.0000  6 Se 3.09-3.10
Y 0.0000 0.5000 0.5000  6 Se 2.90
Bi 0.5000 0.0000 0.5000  6 Se 2.95-2.96
Se 0.2381 0.0000 0.7306  2 Y 2.90, 1 Bi 2.95, 3 Na 3.05-3.09
Se 0.2482 0.5000 0.2642  1 Y 2.90, 2 Bi 2.96, 3 Na 3.04-3.10
Se 0.7518 0.5000 0.7358  1 Y 2.90, 2 Bi 2.96, 3 Na 3.04-3.10
Se 0.7619 0.0000 0.2694  2 Y 2.90, 1 Bi 2.95, 3 Na 3.05-3.09

Below is crystalline NaYBi2Se4 at its relaxed geometry, with properties calculated at the PBE-GGA level.

**E_form (uncorrected)**: -0.854 eV per atom
**Space group**: P2/m
**Energy**: -36.32 eV/f.u.

Cell lengths 7.6056, 4.0937, 8.0002 Å; angles 90.00, 107.59, 90.00 degrees
Closest atoms and distances in Å follow each position.
Fractional positions:
Na 0.0000 0.0000 0.0000  4 Se 3.03
Y 0.5000 0.5000 0.5000  6 Se 2.86-2.93
Bi 0.0000 0.0000 0.5000  6 Se 2.95-2.98
Bi 0.5000 0.5000 0.0000  4 Se 2.99
Se 0.1208 0.5000 0.2921  1 Y 2.86, 2 Bi 2.95, 2 Na 3.03
Se 0.3951 0.0000 0.7148  2 Y 2.93, 3 Bi 2.98-2.99
Se 0.6049 0.0000 0.2852  2 Y 2.93, 3 Bi 2.98-2.99
Se 0.8792 0.5000 0.7079  1 Y 2.86, 2 Bi 2.95, 2 Na 3.03

Below is crystalline Na3ZnBi3Se8 at its relaxed geometry, with properties calculated at the PBE-GGA level.

**E_form (uncorrected)**: -0.541 eV per atom
**Space group**: C2/m
**Energy**: -52.86 eV/f.u.

Cell lengths 8.1665, 8.1665, 8.7113 Å; angles 118.05, 118.05, 59.85 degrees
Closest atoms and distances in Å follow each position.
Fractional positions:
Na 0.0000 0.0000 0.0000  6 Se 3.04-3.06
Na 0.0000 0.5000 0.0000  6 Se 3.03-3.06
Na 0.5000 0.0000 0.0000  6 Se 3.03-3.06
Zn 0.0000 0.0000 0.5000  6 Se 2.68
Bi 0.0000 0.5000 0.5000  6 Se 2.93-2.94
Bi 0.5000 0.0000 0.5000  6 Se 2.93-2.94
Bi 0.5000 0.5000 0.5000  6 Se 2.93-2.94
Se 0.2250 0.2250 0.7183  1 Zn 2.68, 2 Bi 2.94
Se 0.2251 0.7682 0.7184  1 Zn 2.68, 2 Bi 2.94
Se 0.2318 0.7749 0.2816  1 Zn 2.68, 2 Bi 2.94
Se 0.2539 0.2539 0.2613  3 Bi 2.93, 3 Na 3.03-3.04
Se 0.7461 0.7461 0.7387  3 Bi 2.93, 3 Na 3.03-3.04
Se 0.7682 0.2251 0.7184  1 Zn 2.68, 2 Bi 2.94
Se 0.7749 0.2318 0.2816  1 Zn 2.68, 2 Bi 2.94
Se 0.7750 0.7750 0.2817  1 Zn 2.68, 2 Bi 2.94

Below is crystalline Na2ZrBiSe4 at its relaxed geometry, with properties calculated at the PBE-GGA level.

**E_form (uncorrected)**: -0.965 eV per atom
**Space group**: P2/m
**Energy**: -36.73 eV/f.u.

Cell lengths 7.2941, 4.0175, 7.3916 Å; angles 90.00, 108.08, 90.00 degrees
Closest atoms and distances in Å follow each position.
Fractional positions:
Na 0.0000 0.0000 0.0000  6 Se 2.97-3.02
Na 0.5000 0.5000 0.0000  6 Se 3.10-3.16
Zr 0.0000 0.5000 0.5000  6 Se 2.79-2.80
Bi 0.5000 0.0000 0.5000  6 Se 2.93-2.94
Se 0.2299 0.0000 0.7233  2 Zr 2.80, 1 Bi 2.94, 3 Na 3.02-3.10
Se 0.2371 0.5000 0.2685  1 Zr 2.79, 2 Bi 2.93, 2 Na 2.97
Se 0.7629 0.5000 0.7315  1 Zr 2.79, 2 Bi 2.93, 2 Na 2.97
Se 0.7701 0.0000 0.2767  2 Zr 2.80, 1 Bi 2.94, 3 Na 3.02-3.10